SbIrPd after structural relaxation, computed with PBE-GGA.

## Properties
Raw total energy   -73.83 eV per cell

Lattice parameters (Å, degrees): 6.129 6.129 6.129 90.00 90.00 90.00
Space group F-43m (No. 216)
Inequivalent atoms, fractional coordinates:
Sb  0.000  0.000  0.000 [4 per cell]
Ir  0.250  0.250  0.750 [4 per cell]
Pd  0.250  0.250  0.250 [4 per cell]